[1]
AgAs2O4, relaxed, DFT PBE; energy relative to the elements, uncorrected = -0.41 eV per atom; DOS(E_F) = 2.07 states/eV/f.u.
1.0
5.661 0.040 0.000
-2.690 4.981 0.000
-1.485 -2.510 4.851
As Ag O
2 1 4
Direct
0.250 0.750 0.500
0.750 0.250 0.500
0.500 0.500 0.000
0.832 0.402 0.235
0.598 0.832 0.430
0.402 0.168 0.570
0.168 0.598 0.765

=====

[2]
AgAsO, relaxed, DFT PBE; energy relative to the elements, uncorrected = -0.29 eV per atom; DOS(E_F) = 0.39 states/eV/f.u.
1.0
4.043 -0.005 -0.616
0.503 5.306 0.464
-0.910 2.569 4.957
O As Ag
2 2 2
Direct
0.522 0.759 0.514
0.478 0.241 0.486
0.872 0.866 0.726
0.128 0.134 0.274
0.304 0.330 0.815
0.696 0.670 0.185

=====

[3]
Ag3AsO4, relaxed, DFT PBE; energy relative to the elements, uncorrected = -0.46 eV per atom; polymorph energy (0 for the lowest one) = 150.6 meV/atom; DOS(E_F) = 2.97 states/eV/f.u.
1.0
-2.604 -4.527 1.703
3.727 -0.957 -3.920
3.304 2.533 3.583
O As Ag
4 1 3
Direct
0.173 0.699 0.872
0.173 0.301 0.473
0.066 0.734 0.332
0.597 0.266 0.332
0.006 0.500 0.506
0.566 0.783 0.349
0.566 0.217 0.782
0.005 0.000 0.005

=====

[4]
AgAsO3, relaxed, DFT PBE; energy relative to the elements, uncorrected = -0.44 eV per atom; DOS(E_F) = 7.70 states/eV/f.u.
1.0
-0.218 1.242 3.546
-2.862 -2.356 0.649
2.434 -2.659 1.080
O Ag As
3 1 1
Direct
0.000 0.000 0.500
0.500 0.000 0.000
0.000 0.500 0.000
0.500 0.500 0.500
0.000 0.000 0.000

=====

[5]
AgAsO2, relaxed, DFT PBE; energy relative to the elements, uncorrected = -0.43 eV per atom; DOS(E_F) = 0.29 states/eV/f.u.
1.0
-3.725 2.591 2.203
-3.366 -3.274 -1.841
-3.053 -3.221 4.401
As Ag O
2 2 4
Direct
0.500 0.500 0.000
0.250 0.750 0.500
0.750 0.250 0.500
0.000 0.000 0.000
0.561 0.125 0.250
0.189 0.625 0.250
0.875 0.811 0.750
0.375 0.439 0.750

=====

[6]
AgAsO3, relaxed, DFT PBE; energy relative to the elements, uncorrected = -0.73 eV per atom; DOS(E_F) = 1.07 states/eV/f.u.
1.0
-1.291 -0.708 2.624
2.614 -5.955 -0.321
6.960 2.923 2.453
As O Ag
2 6 2
Direct
0.901 0.750 0.798
0.099 0.250 0.202
0.158 0.031 0.318
0.528 0.250 0.064
0.158 0.469 0.318
0.472 0.750 0.936
0.842 0.531 0.682
0.842 0.969 0.682
0.319 0.250 0.637
0.681 0.750 0.363

=====

Number 1: total magnetic moment 0.000 μB/atom. Number 2: total magnetic moment 0.000 μB/atom. Number 3: total magnetic moment 0.000 μB/atom. Number 4: total magnetic moment 0.048 μB/atom. Number 5: total magnetic moment 0.000 μB/atom. Number 6: total magnetic moment 0.000 μB/atom.